Record 1
Density functional theory data (PBE-GGA) for an optimized crystal structure of Sr2CdTe.

Output
Total energy ... -2.590 eV per atom
Energy relative to the lowest polymorph listed for this composition ... 159 meV per atom
DOS(E_F) ... 2.0 states/eV/cell
Space-group type ... No. 71

Structure (POSCAR):
```
Sr2CdTe
1.0
6.0972 -0.0156 -0.0306
1.4629 5.9192 0.0306
-3.7657 -2.9702 3.7650
Cd Sr Te
1 2 1
direct
0.2500 0.7500 0.5000
0.9999 0.9999 0.0000
0.5001 0.5001 0.0000
0.7500 0.2500 0.5000
```



Record 2
Density functional theory data (PBE-GGA) for an optimized crystal structure of Os2RuBrCl.

Output
Total energy ... -4.878 eV per atom
DOS(E_F) ... 8.4 states/eV/cell
Space-group type ... No. 123

Structure (POSCAR):
```
Os2RuBrCl
1.0
-2.4992 -3.4225 -1.3781
2.0101 0.1348 -3.9803
3.0953 -2.8508 1.4666
Ru Os Br Cl
1 2 1 1
direct
0.0000 0.5000 0.0000
0.0000 0.0000 0.5000
0.5000 0.0000 0.0000
0.5000 0.5000 0.5000
0.0000 0.0000 0.0000
```



Record 3
Density functional theory data (PBE-GGA) for an optimized crystal structure of ReTeSe.

Output
Total energy ... -6.127 eV per atom
DOS(E_F) ... 1.7 states/eV/cell
Space-group type ... No. 107

Structure (POSCAR):
```
ReTeSe
1.0
7.0923 0.0170 0.0000
5.6900 4.2339 0.0000
-6.3911 -2.1254 2.2220
Re Se Te
1 1 1
direct
0.9932 0.9932 0.0000
0.3823 0.3823 0.0000
0.6244 0.6244 0.0000
```



Record 4
Density functional theory data (PBE-GGA) for an optimized crystal structure of CeAlGe2Os.

Output
Total energy ... -6.449 eV per atom
DOS(E_F) ... 5.6 states/eV/cell
Space-group type ... No. 119

Structure (POSCAR):
```
CeAlGe2Os
1.0
4.0253 0.0000 0.0000
0.0000 4.0253 0.0000
-2.0127 -2.0127 5.6350
Ce Al Ge Os
1 1 2 1
direct
0.0000 0.0000 0.0000
0.2500 0.7500 0.5000
0.6124 0.6124 0.2249
0.3876 0.3876 0.7751
0.7500 0.2500 0.5000
```



no.,calculated volume (Å³/atom)
1,33.99
2,17.72
3,22.17
4,18.26